Record 1
Mg2TlFe, optimized geometry, DFT GGA-PBEsol; formation energy from the elements = 294 meV per atom; space-group type = Cmmm, No. 65; distance to the lowest polymorph of the same formula = 0.086 eV/atom
1.0
3.119 0.000 0.000
0.000 5.012 0.129
0.000 -1.569 4.762
Mg Fe Tl
2 1 1
Direct
0.000 0.500 0.000
0.000 0.000 0.500
0.500 0.500 0.500
0.500 0.000 0.000

***

Record 2
ZrGaAg3, optimized geometry, DFT GGA-PBEsol; formation energy from the elements = 1260 meV per atom; space-group type = Pm-3m, No. 221
1.0
-3.870 1.338 -3.180
2.576 -2.057 -4.001
-2.294 -4.567 0.870
Ag Zr Ga
3 1 1
Direct
0.000 0.500 0.000
0.000 0.000 0.500
0.500 0.000 0.000
0.000 0.000 0.000
0.500 0.500 0.500

***

Record 3
BeAs2Rh, optimized geometry, DFT GGA-PBEsol; formation energy from the elements = 125 meV per atom; space-group type = P4/mmm, No. 123
1.0
-0.440 -0.442 -3.393
4.026 0.200 -0.548
0.267 -4.030 0.490
As Rh Be
2 1 1
Direct
0.000 0.000 0.500
0.000 0.500 0.000
0.500 0.000 0.000
0.500 0.500 0.500

***

Record 4
InNi2PtS, optimized geometry, DFT GGA-PBEsol; space-group type = P4/mmm, No. 123; formation energy (no corrections) = 0.9305 eV per atom
1.0
-0.394 3.509 2.896
-0.304 -2.921 3.498
4.994 0.119 0.534
S Ni Pt In
1 2 1 1
Direct
0.500 0.500 0.500
0.500 0.000 0.000
0.000 0.500 0.000
0.000 0.000 0.000
0.000 0.000 0.500

***

Record 5
AlSiBi2, optimized geometry, DFT GGA-PBEsol; space-group type = I-42d, No. 122; formation energy (no corrections) = 0.4081 eV per atom
1.0
6.339 0.000 0.000
0.000 6.339 0.000
-3.169 -3.169 6.548
Al Bi Si
2 4 2
Direct
0.500 0.500 0.000
0.750 0.250 0.500
0.878 0.375 0.250
0.125 0.122 0.750
0.625 0.628 0.750
0.372 0.875 0.250
0.000 0.000 0.000
0.250 0.750 0.500

***

Record 6
PmEuPt2, optimized geometry, DFT GGA-PBEsol; formation energy from the elements = -959 meV per atom; space-group type = Fm-3m, No. 225
1.0
4.974 0.000 0.000
2.487 4.308 0.000
2.487 1.436 4.061
Pt Eu Pm
2 1 1
Direct
0.750 0.750 0.750
0.250 0.250 0.250
0.500 0.500 0.500
0.000 0.000 0.000

***

Record 7
ZnAgPt2, optimized geometry, DFT GGA-PBEsol; formation energy from the elements = -226 meV per atom; space-group type = P4/mmm, No. 123
1.0
3.825 0.000 0.000
0.000 3.943 0.000
0.000 0.000 3.943
Pt Zn Ag
2 1 1
Direct
0.000 0.500 0.000
0.000 0.000 0.500
0.500 0.500 0.500
0.500 0.000 0.000

***

Record 8
ReIr3, optimized geometry, DFT GGA-PBEsol; formation energy from the elements = -97 meV per atom; space-group type = C2/m, No. 12; distance to the lowest polymorph of the same formula = 0.043 eV/atom
1.0
2.705 0.000 0.000
0.000 4.701 -0.002
-1.353 -0.774 4.444
Ir Re
3 1
Direct
0.248 0.248 0.496
0.752 0.752 0.504
0.000 0.500 0.000
0.500 0.000 0.000

***

Record 9
BaLi2NiO3, optimized geometry, DFT GGA-PBEsol; space-group type = Pnma, No. 62; formation energy (no corrections) = -1.6796 eV per atom
1.0
6.674 0.000 0.000
0.000 6.935 0.000
0.000 0.000 8.011
O Ni Li Ba
12 4 8 4
Direct
0.250 0.496 0.488
0.998 0.684 0.778
0.002 0.184 0.722
0.998 0.816 0.278
0.002 0.316 0.222
0.498 0.316 0.222
0.502 0.816 0.278
0.750 0.996 0.012
0.502 0.684 0.778
0.250 0.004 0.988
0.498 0.184 0.722
0.750 0.504 0.512
0.750 0.826 0.187
0.250 0.326 0.313
0.250 0.174 0.813
0.750 0.674 0.687
0.960 0.554 0.356
0.460 0.446 0.644
0.960 0.946 0.856
0.040 0.446 0.644
0.540 0.946 0.856
0.540 0.554 0.356
0.460 0.054 0.144
0.040 0.054 0.144
0.250 0.859 0.537
0.250 0.641 0.037
0.750 0.359 0.963
0.750 0.141 0.463

***

Record 10
Y2PSe, optimized geometry, DFT GGA-PBEsol; space-group type = Fm-3m, No. 225; formation energy (no corrections) = -1.3960 eV per atom; distance to the lowest polymorph of the same formula = 0.461 eV/atom
1.0
-0.404 2.235 4.349
-4.414 0.570 2.065
-1.196 -2.593 3.989
P Se Y
1 1 2
Direct
0.000 0.000 0.000
0.500 0.500 0.500
0.750 0.750 0.750
0.250 0.250 0.250

***

Record 11
TlCo3Os, optimized geometry, DFT GGA-PBEsol; formation energy from the elements = 1439 meV per atom; space-group type = Pm-3m, No. 221
1.0
-4.230 0.188 1.332
0.210 -4.249 1.265
1.329 1.268 4.041
Co Tl Os
3 1 1
Direct
0.500 0.000 0.000
0.000 0.000 0.500
0.000 0.500 0.000
0.500 0.500 0.500
0.000 0.000 0.000

***

Record 12
NaScSeN2, optimized geometry, DFT GGA-PBEsol; space-group type = P4/mmm, No. 123; formation energy (no corrections) = 1.2054 eV per atom
1.0
4.139 0.000 0.000
0.000 4.139 0.000
0.000 0.000 4.940
Se N Sc Na
1 2 1 1
Direct
0.000 0.000 0.500
0.000 0.500 0.000
0.500 0.000 0.000
0.500 0.500 0.500
0.000 0.000 0.000

***

Record 13
ReWAu2, optimized geometry, DFT GGA-PBEsol; formation energy from the elements = 389 meV per atom; space-group type = Imm2, No. 44; distance to the lowest polymorph of the same formula = 0.000 eV/atom
1.0
3.994 0.000 0.000
0.000 4.008 0.000
-1.997 -2.004 3.914
Au Re W
2 1 1
Direct
0.000 0.000 0.000
0.750 0.250 0.500
0.501 0.501 0.002
0.249 0.749 0.498

***

Record 14
K3Er, optimized geometry, DFT GGA-PBEsol; formation energy from the elements = 614 meV per atom; space-group type = P6_3/mmc, No. 194; distance to the lowest polymorph of the same formula = 0.000 eV/atom
1.0
-3.052 5.945 -1.746
-5.865 -1.277 5.902
7.052 4.182 1.909
Er K
2 6
Direct
0.750 0.333 0.667
0.250 0.667 0.333
0.750 0.828 0.172
0.250 0.172 0.344
0.250 0.172 0.828
0.750 0.344 0.172
0.250 0.656 0.828
0.750 0.828 0.656

***

Record 15
ScTe2As, optimized geometry, DFT GGA-PBEsol; space-group type = R-3m, No. 166; formation energy (no corrections) = -0.3152 eV per atom
1.0
3.795 0.000 0.000
1.897 3.286 0.000
1.897 1.095 7.926
Sc Te As
1 2 1
Direct
0.000 0.000 0.000
0.748 0.748 0.756
0.252 0.252 0.244
0.500 0.500 0.500

***

Record 16
HfCrTe2W, optimized geometry, DFT GGA-PBEsol; space-group type = P4/mmm, No. 123; formation energy (no corrections) = 1.8067 eV per atom
1.0
-0.707 -2.770 3.765
2.848 -3.871 -2.313
4.439 1.923 2.248
Cr Hf Te W
1 1 2 1
Direct
0.500 0.000 0.000
0.000 0.000 0.000
0.000 0.000 0.500
0.000 0.500 0.000
0.500 0.500 0.500

***

Record 17
La2Ni2O, optimized geometry, DFT GGA-PBEsol; space-group type = I4/mmm, No. 139; formation energy (no corrections) = -0.5387 eV per atom
1.0
-4.359 1.884 1.127
1.058 -4.196 2.256
3.818 2.668 1.456
Ni La O
2 2 1
Direct
0.000 0.321 0.321
0.000 0.679 0.679
0.500 0.250 0.750
0.500 0.750 0.250
0.000 0.000 0.000

***

Record 18
LaTaCr2, optimized geometry, DFT GGA-PBEsol; formation energy from the elements = 688 meV per atom; space-group type = R3m, No. 160; distance to the lowest polymorph of the same formula = 0.000 eV/atom
1.0
2.941 0.000 0.000
1.470 2.547 0.000
1.470 0.849 9.208
Cr Ta La
2 1 1
Direct
0.731 0.731 0.808
0.009 0.009 0.972
0.266 0.266 0.202
0.494 0.494 0.518

***

Record 19
NbGaF2, optimized geometry, DFT GGA-PBEsol; space-group type = R-3m, No. 166; formation energy (no corrections) = -1.5210 eV per atom
1.0
2.797 0.000 0.000
1.398 2.422 0.000
1.398 0.807 9.792
F Ga Nb
2 1 1
Direct
0.115 0.115 0.654
0.885 0.885 0.346
0.000 0.000 0.000
0.500 0.500 0.500

***

Record 20
Mg3SbAs, optimized geometry, DFT GGA-PBEsol; space-group type = Pm-3m, No. 221; formation energy (no corrections) = -0.2448 eV per atom
1.0
-0.822 4.537 -1.810
-3.959 -1.694 -2.448
-2.862 1.040 3.907
Mg Sb As
3 1 1
Direct
0.000 0.500 0.000
0.500 0.000 0.000
0.000 0.000 0.500
0.500 0.500 0.500
0.000 0.000 0.000

***

Record 21
K2MgH12Se2O14, optimized geometry, DFT GGA-PBEsol; space-group type = P2_1/c, No. 14; DFT total energy = -5.2591 eV per atom
1.0
6.235 0.052 0.000
-2.184 8.874 0.000
0.000 0.000 12.240
H O K Se Mg
24 28 4 4 2
Direct
0.092 0.249 0.875
0.908 0.251 0.375
0.092 0.749 0.625
0.908 0.751 0.125
0.659 0.610 0.557
0.679 0.785 0.083
0.003 0.144 0.191
0.083 0.269 0.099
0.917 0.231 0.599
0.083 0.769 0.401
0.659 0.110 0.943
0.656 0.473 0.641
0.003 0.644 0.309
0.997 0.856 0.809
0.656 0.973 0.859
0.679 0.285 0.417
0.344 0.027 0.141
0.997 0.356 0.691
0.341 0.890 0.057
0.344 0.527 0.359
0.321 0.715 0.583
0.341 0.390 0.443
0.917 0.731 0.901
0.321 0.215 0.917
0.975 0.170 0.113
0.168 0.167 0.891
0.832 0.833 0.109
0.403 0.226 0.449
0.745 0.074 0.571
0.709 0.014 0.933
0.403 0.726 0.051
0.553 0.906 0.743
0.291 0.986 0.067
0.966 0.387 0.825
0.447 0.094 0.257
0.447 0.594 0.243
0.966 0.887 0.675
0.553 0.406 0.757
0.597 0.274 0.949
0.255 0.426 0.071
0.709 0.514 0.567
0.025 0.330 0.613
0.034 0.113 0.325
0.025 0.830 0.887
0.034 0.613 0.175
0.745 0.574 0.929
0.255 0.926 0.429
0.168 0.667 0.609
0.832 0.333 0.391
0.975 0.670 0.387
0.597 0.774 0.551
0.291 0.486 0.433
0.330 0.637 0.837
0.670 0.363 0.163
0.670 0.863 0.337
0.330 0.137 0.663
0.719 0.912 0.635
0.281 0.088 0.365
0.281 0.588 0.135
0.719 0.412 0.865
0.000 0.000 0.000
0.000 0.500 0.500

***

Record 22
BaInP3, optimized geometry, DFT GGA-PBEsol; formation energy from the elements = 188 meV per atom; space-group type = Pm-3m, No. 221
1.0
5.061 0.000 0.000
0.000 5.061 0.000
0.000 0.000 5.061
Ba In P
1 1 3
Direct
0.500 0.500 0.500
0.000 0.000 0.000
0.000 0.500 0.000
0.000 0.000 0.500
0.500 0.000 0.000

***

Record 23
MgPt2Rh, optimized geometry, DFT GGA-PBEsol; formation energy from the elements = -385 meV per atom; space-group type = Cm, No. 8
1.0
2.766 0.000 0.000
0.000 4.732 0.003
-1.383 -0.789 4.504
Mg Pt Rh
1 2 1
Direct
0.750 0.245 0.501
0.248 0.738 0.497
0.001 0.005 0.002
0.500 0.512 0.001

***

Record 24
Li2CaHg, optimized geometry, DFT GGA-PBEsol; formation energy from the elements = -273 meV per atom; space-group type = F-43m, No. 216
1.0
-2.666 -3.453 -2.520
0.745 -4.902 0.892
-3.529 -2.691 2.384
Li Ca Hg
2 1 1
Direct
0.750 0.750 0.750
0.000 0.000 0.000
0.500 0.500 0.500
0.250 0.250 0.250

***

Record 25
NaAlReNi2, optimized geometry, DFT GGA-PBEsol; formation energy from the elements = 1592 meV per atom; space-group type = P4/mmm, No. 123
1.0
-2.231 -1.301 -3.347
0.913 -4.017 0.952
-3.670 -0.233 2.536
Al Ni Na Re
1 2 1 1
Direct
0.000 0.000 0.000
0.000 0.500 0.000
0.500 0.000 0.000
0.000 0.000 0.500
0.500 0.500 0.500